# YSiRh2

A relaxed YSiRh2 crystal (PBE, Alexandria via LeMat-Bulk).

## Properties
Mass density ... 7.8 g/cm3
E_form (uncorrected) ... -0.66 eV per atom
D(E_F) ... 2.335 states/eV/cell
E ... -29.2 eV/f.u.
Total magnetization ... 0.0 Bohr magnetons per cell

Lattice parameters (Å, degrees): 3.5707 3.1061 6.4530 73.13 90.00 90.00
Element x y z (fractional)
Rh  0.0000  0.0539  0.0452
Y  0.5000  0.7500  0.7500
Si  0.5000  0.2500  0.2500
Rh  0.0000  0.4461  0.4548

# Y3Si3Rh2

A relaxed Y3Si3Rh2 crystal (PBE, Alexandria via LeMat-Bulk).

## Properties
Mass density ... 5.8 g/cm3
E_form (uncorrected) ... -0.97 eV per atom
D(E_F) ... 19.029 states/eV/cell
E above lowest polymorph ... 0.28 eV/f.u.
E ... -58.2 eV/f.u.
Total magnetization ... 0.0 Bohr magnetons per cell

Lattice parameters (Å, degrees): 5.6988 7.9417 13.9695 90.00 90.00 90.00
Element x y z (fractional)
Si  0.3710  0.6977  0.9594
Y  0.8756  0.5442  0.6133
Y  0.3756  0.9558  0.1133
Si  0.6290  0.3023  0.4594
Y  0.1244  0.4558  0.3867
Si  0.8710  0.8023  0.0406
Si  0.1290  0.1977  0.9594
Si  0.4019  0.6596  0.2500
Rh  0.8906  0.0866  0.0906
Rh  0.3906  0.4134  0.9094
Y  0.1285  0.1932  0.7500
Si  0.9019  0.8404  0.7500
Si  0.8710  0.8023  0.4594
Y  0.8756  0.5442  0.8867
Y  0.8715  0.8068  0.2500
Si  0.3710  0.6977  0.5406
Rh  0.8906  0.0866  0.4094
Y  0.1244  0.4558  0.1133
Rh  0.6094  0.5866  0.4094
Y  0.6285  0.3068  0.2500
Rh  0.3906  0.4134  0.5906
Si  0.1290  0.1977  0.5406
Rh  0.1094  0.9134  0.9094
Y  0.3715  0.6932  0.7500
Rh  0.1094  0.9134  0.5906
Si  0.0981  0.1596  0.2500
Si  0.6290  0.3023  0.0406
Rh  0.6094  0.5866  0.0906
Y  0.3756  0.9558  0.3867
Y  0.6244  0.0442  0.8867
Y  0.6244  0.0442  0.6133
Si  0.5981  0.3404  0.7500